A geometry-optimized ZnGe2Au2 structure. Source: the Alexandria database, functional GGA-PBE.

```
10
Lattice="7.230 0.000 0.000 0.000 7.230 0.000 0.000 0.000 3.732" Properties=species:S:1:pos:R:3 pbc="T T T"
Zn 0.000 0.000 0.000
Zn 3.615 3.615 0.000
Ge 1.186 2.429 0.000
Ge 2.429 6.044 0.000
Ge 4.801 1.186 0.000
Ge 6.044 4.801 0.000
Au 1.034 4.649 1.866
Au 2.581 1.034 1.866
Au 4.649 6.196 1.866
Au 6.196 2.581 1.866
```

Properties
**Space-group type**: No. 127
**Energy**: -3.24 eV per atom
**Formation enthalpy at 0 K**: 175 meV/atom
**Excess energy over the best structure of this formula in the dataset**: 0.071 eV per atom

=====

A geometry-optimized HfSbPb2O6 structure. Source: the Alexandria database, functional GGA-PBE.

```
20
Lattice="6.003 0.000 0.000 0.000 8.393 0.000 0.000 0.000 5.993" Properties=species:S:1:pos:R:3 pbc="T T T"
Hf 1.501 2.098 1.391
Hf 4.502 6.295 4.602
Sb 1.501 6.295 1.416
Sb 4.502 2.098 4.577
Pb 1.501 0.247 4.179
Pb 1.501 3.949 4.179
Pb 4.502 4.444 1.815
Pb 4.502 8.146 1.815
O 0.038 2.098 0.017
O 0.146 2.098 3.128
O 1.501 0.033 1.722
O 1.501 4.164 1.722
O 2.856 2.098 3.128
O 2.963 2.098 0.017
O 3.040 6.295 5.976
O 3.147 6.295 2.866
O 4.502 4.230 4.271
O 4.502 8.360 4.271
O 5.857 6.295 2.866
O 5.964 6.295 5.976
```

Properties
**Space-group type**: No. 59
**Energy**: -6.92 eV per atom

=====

A geometry-optimized Er6MgTc2 structure. Source: the Alexandria database, functional GGA-PBE.

```
18
Lattice="-4.748 4.753 5.181 4.748 -4.753 5.181 4.748 4.753 -5.181" Properties=species:S:1:pos:R:3 pbc="T T T"
Er 4.748 2.722 -2.737
Er 2.685 1.809 0.000
Er 6.811 1.809 0.000
Er 1.933 4.753 -1.921
Er 2.815 0.000 3.260
Er 0.000 2.031 2.445
Er 4.748 2.722 2.737
Er 1.933 4.753 1.921
Er 2.815 0.000 7.103
Er -2.063 2.944 5.181
Er 2.063 2.944 5.181
Er 0.000 2.031 7.918
Mg 0.000 0.000 0.000
Mg 0.000 0.000 5.181
Tc 4.748 0.000 1.195
Tc 0.000 3.495 0.000
Tc 0.000 6.011 0.000
Tc 0.000 4.753 3.986
```

Properties
**Space-group type**: No. 71
**Energy**: -5.60 eV per atom
**Formation enthalpy at 0 K**: -82 meV/atom

=====

A geometry-optimized Nd5Er3As8 structure. Source: the Alexandria database, functional GGA-PBE.

```
16
Lattice="4.204 2.427 6.861 -4.204 2.427 6.861 0.000 -4.854 6.861" Properties=species:S:1:pos:R:3 pbc="T T T"
Nd 0.000 0.000 0.000
Nd -2.102 -1.214 6.861
Nd -2.102 1.214 13.722
Nd 0.000 2.427 6.861
Nd 0.000 0.000 10.292
Er -4.204 0.000 10.292
Er -2.102 1.214 3.431
Er 2.102 1.214 3.431
As -2.135 -1.233 11.953
As 0.000 0.000 5.066
As 0.000 -2.465 8.630
As -2.135 1.233 8.630
As 2.135 -1.233 11.953
As 0.000 2.465 11.953
As 0.000 0.000 15.517
As 2.135 1.233 8.630
```

Properties
**Space-group type**: No. 166
**Energy**: -6.17 eV per atom
**Formation enthalpy at 0 K**: -1503 meV/atom

=====

A geometry-optimized YScSi structure. Source: the Alexandria database, functional GGA-PBE.

```
6
Lattice="4.197 0.000 0.000 0.000 4.197 0.000 0.000 0.000 7.769" Properties=species:S:1:pos:R:3 pbc="T T T"
Y 1.049 1.049 1.138
Y 3.148 3.148 6.630
Sc 1.049 3.148 3.884
Sc 3.148 1.049 3.884
Si 1.049 1.049 5.865
Si 3.148 3.148 1.904
```

Properties
**Space-group type**: No. 129
**Energy**: -6.72 eV per atom
**Excess energy over the best structure of this formula in the dataset**: 0.000 eV per atom

=====

A geometry-optimized La4Ge2Rh structure. Source: the Alexandria database, functional GGA-PBE.

```
14
Lattice="-4.426 4.950 4.881 4.426 -4.950 4.881 4.426 4.950 -4.881" Properties=species:S:1:pos:R:3 pbc="T T T"
La 2.679 2.475 -0.570
La 6.174 2.475 -0.570
La 0.000 0.491 1.906
La 4.426 0.491 2.975
La 0.000 4.458 1.906
La 4.426 4.458 2.975
La -1.747 2.475 5.451
La 1.747 2.475 5.451
Ge 4.426 0.000 0.000
Ge -2.213 2.475 2.441
Ge 0.000 0.000 4.881
Ge 2.213 2.475 2.441
Rh 4.426 -2.475 3.424
Rh 0.000 7.425 1.457
```

Properties
**Space-group type**: No. 74
**Energy**: -5.80 eV per atom
**Formation enthalpy at 0 K**: -611 meV/atom
**Excess energy over the best structure of this formula in the dataset**: 0.000 eV per atom

=====

A geometry-optimized TmMgCo2H6 structure. Source: the Alexandria database, functional GGA-PBE.

```
10
Lattice="2.172 1.254 4.943 -2.172 1.254 4.943 0.000 -2.508 4.943" Properties=species:S:1:pos:R:3 pbc="T T T"
Tm 0.000 0.000 0.000
Mg 0.000 0.000 7.414
Co 0.000 0.000 3.073
Co 0.000 0.000 11.755
H -1.134 -0.655 5.860
H 0.000 -1.310 8.968
H -1.134 0.655 8.968
H 1.134 -0.655 5.860
H 0.000 1.310 5.860
H 1.134 0.655 8.968
```

Properties
**Space-group type**: No. 166
**Energy**: -4.27 eV per atom

=====

A geometry-optimized PuAlGaCu structure. Source: the Alexandria database, functional GGA-PBE.

```
4
Lattice="2.074 1.197 5.289 -2.074 1.197 5.289 0.000 -2.395 5.289" Properties=species:S:1:pos:R:3 pbc="T T T"
Pu 0.000 0.000 0.000
Al 0.000 0.000 12.560
Ga 0.000 0.000 3.401
Cu 0.000 0.000 7.900
```

Properties
**Space-group type**: No. 160
**Energy**: -6.47 eV per atom
**Formation enthalpy at 0 K**: -169 meV/atom
**Excess energy over the best structure of this formula in the dataset**: 0.030 eV per atom

=====

A geometry-optimized LiV5Te8 structure. Source: the Alexandria database, functional GGA-PBE.

```
14
Lattice="0.000 5.722 5.722 5.722 0.000 5.722 5.722 5.722 0.000" Properties=species:S:1:pos:R:3 pbc="T T T"
Li 0.000 0.000 0.000
V 4.178 4.178 4.178
V 7.266 7.266 4.178
V 7.266 4.178 7.266
V 8.583 8.583 8.583
V 4.178 7.266 7.266
Te 1.481 1.481 1.481
Te 4.241 4.241 1.481
Te 4.241 1.481 4.241
Te 7.032 4.412 4.412
Te 1.481 4.241 4.241
Te 4.412 7.032 4.412
Te 4.412 4.412 7.032
Te 7.032 7.032 7.032
```

Properties
**Space-group type**: No. 216
**Energy**: -5.48 eV per atom

=====

A geometry-optimized LaSm4Ho6 structure. Source: the Alexandria database, functional GGA-PBE.

```
11
Lattice="-3.912 3.912 6.415 3.912 -3.912 6.415 3.912 3.912 -6.415" Properties=species:S:1:pos:R:3 pbc="T T T"
La 0.000 0.000 0.000
Sm 2.583 2.583 -0.941
Sm 1.330 -1.330 7.356
Sm 1.330 1.330 5.473
Sm -1.330 1.330 7.356
Ho 3.912 0.000 0.000
Ho 1.884 -1.884 4.011
Ho 2.028 2.028 2.404
Ho 0.000 3.912 0.000
Ho -1.884 1.884 4.011
Ho 1.884 1.884 8.819
```

Properties
**Space-group type**: No. 121
**Energy**: -4.22 eV per atom
**Formation enthalpy at 0 K**: 441 meV/atom

=====

A geometry-optimized KMoP2 structure. Source: the Alexandria database, functional GGA-PBE.

```
4
Lattice="0.000 3.297 3.297 3.297 0.000 3.297 3.297 3.297 0.000" Properties=species:S:1:pos:R:3 pbc="T T T"
K 0.000 0.000 0.000
Mo 3.297 3.297 3.297
P 1.649 1.649 1.649
P 4.946 4.946 4.946
```

Properties
**Space-group type**: No. 225
**Energy**: -5.14 eV per atom
**Formation enthalpy at 0 K**: 547 meV/atom
**Excess energy over the best structure of this formula in the dataset**: 0.850 eV per atom

=====

A geometry-optimized AcCd2GaPt2 structure. Source: the Alexandria database, functional GGA-PBE.

```
6
Lattice="-2.689 2.689 5.382 2.689 -2.689 5.382 2.689 2.689 -5.382" Properties=species:S:1:pos:R:3 pbc="T T T"
Ac 0.000 0.000 0.000
Cd 2.689 0.000 2.691
Cd 0.000 2.689 2.691
Ga 0.000 0.000 5.382
Pt 0.000 0.000 2.994
Pt 0.000 0.000 7.770
```

Properties
**Space-group type**: No. 139
**Energy**: -3.91 eV per atom
**Formation enthalpy at 0 K**: -398 meV/atom